Record 1
{
  "formula": "ScVTc2",
  "functional": "PBE",
  "state": "relaxed",
  "lattice_angstrom": [[4.682, -1.469, -3.107], [-1.232, 4.749, 3.107], [-3.212, -0.076, 4.838]],
  "species": ["Tc", "Tc", "Sc", "V"],
  "frac_coords": [[0.000, 0.719, 0.719], [0.000, 0.281, 0.281], [0.000, 0.000, 0.000], [0.000, 0.500, 0.500]],
  "delta_e_f_ev_per_atom": 0.4590
}



Record 2
{
  "formula": "ScVTc2",
  "functional": "PBE",
  "state": "relaxed",
  "lattice_angstrom": [[-2.941, -0.469, 0.868], [-0.510, -1.615, -2.599], [1.750, -5.401, 3.013]],
  "species": ["Sc", "Tc", "Tc", "V"],
  "frac_coords": [[0.500, 0.500, 0.500], [0.000, 0.000, 0.778], [0.000, 0.000, 0.222], [0.500, 0.500, 0.000]],
  "delta_e_f_ev_per_atom": -0.2334
}



Record 3
{
  "formula": "Sc2VTc3",
  "functional": "PBE",
  "state": "relaxed",
  "lattice_angstrom": [[-2.898, 3.576, 2.541], [-0.550, -5.106, 1.128], [5.120, -0.350, 0.891]],
  "species": ["Tc", "Tc", "Tc", "Sc", "Sc", "V"],
  "frac_coords": [[0.500, 0.000, 0.500], [0.500, 0.500, 0.500], [0.000, 0.000, 0.500], [0.248, 0.624, 0.871], [0.752, 0.376, 0.129], [0.000, 0.000, 0.000]],
  "delta_e_f_ev_per_atom": -0.2779
}